Record 1
Density functional theory data (PBE) for CsIrRuO6 after structural relaxation.

Computed properties:
- space group = P312, No. 149
- uncorrected energy (eV/atom) = -6.403
- density of states at the Fermi level (states/eV per cell) = 5.523

```
data_CsIrRuO6
_symmetry_space_group_name_H-M 'P 1'
_symmetry_Int_Tables_number 1
_symmetry_space_group_name_Hall 'P 1'
_cell_length_a 5.3510
_cell_length_b 5.3508
_cell_length_c 6.5571
_cell_angle_alpha 90.00
_cell_angle_beta 90.00
_cell_angle_gamma 60.00
loop_
_atom_site_label
_atom_site_fract_x
_atom_site_fract_y
_atom_site_fract_z
_atom_site_occupancy
O1 0.9992 0.6064 0.6595 1
O2 0.6064 0.9993 0.3405 1
O3 0.6063 0.3944 0.6595 1
O4 0.9993 0.3943 0.3405 1
O5 0.3943 0.9993 0.6595 1
O6 0.3943 0.6064 0.3405 1
Ir1 0.3333 0.3333 0.5000 1
Ru1 0.6666 0.6667 0.5000 1
Cs1 0.0000 0.0000 0.0000 1
```

Record 2
Density functional theory data (PBE) for Y2Tm6In after structural relaxation.

Computed properties:
- space group = Immm, No. 71
- energy relative to the elements (meV/atom) = -11
- density of states at the Fermi level (states/eV per cell) = 11.658

```
data_Y2Tm6In
_symmetry_space_group_name_H-M 'P 1'
_symmetry_Int_Tables_number 1
_symmetry_space_group_name_Hall 'P 1'
_cell_length_a 3.4414
_cell_length_b 10.0658
_cell_length_c 9.4734
_cell_angle_alpha 122.09
_cell_angle_beta 100.47
_cell_angle_gamma 90.00
loop_
_atom_site_label
_atom_site_fract_x
_atom_site_fract_y
_atom_site_fract_z
_atom_site_occupancy
Y1 0.1520 0.6521 0.3042 1
Y2 0.8480 0.3479 0.6958 1
Tm1 0.5000 0.2968 0.0000 1
Tm2 0.1777 0.0150 0.3550 1
Tm3 0.8223 0.9850 0.6450 1
Tm4 0.8223 0.6600 0.6450 1
Tm5 0.5000 0.7032 0.0000 1
Tm6 0.1777 0.3400 0.3550 1
In1 0.0000 0.0000 0.0000 1
```

Number 2 is which compound?
Y2Tm6In